DFT (PBE) results for LiCuAgBi after structural relaxation.

Cell lengths 4.670, 4.670, 4.670 Å; angles 60.00, 60.00, 60.00 degrees
Fractional positions:
Ag  0.500  0.500  0.500
Bi  0.000  0.000  0.000
Cu  0.750  0.750  0.750
Li  0.250  0.250  0.250

Computed properties:
The energy above the most stable polymorph in this dataset comes out at 0 meV/atom.